Record 1
# Ac2TbPO8 (PBE-GGA, relaxed)
# - energy relative to the elements, uncorrected (eV per atom) = -2.398
# - magnetization (μB/f.u.) = 2.1
# - electronic total energy (eV per atom) = -7.23
data_Ac2TbPO8
_cell_length_a 5.5315
_cell_length_b 5.5315
_cell_length_c 6.1755
_cell_angle_alpha 90.00
_cell_angle_beta 90.00
_cell_angle_gamma 120.00
_symmetry_space_group_name_H-M 'P -3 m 1'
_symmetry_Int_Tables_number 164
_symmetry_space_group_name_Hall '-P 3 2"'
loop_
_atom_site_label
_atom_site_fract_x
_atom_site_fract_y
_atom_site_fract_z
_atom_site_occupancy
Ac1 0.3333 0.6667 0.3578 1
Tb1 0.0000 0.0000 0.0000 1
P1 0.0000 0.0000 0.5000 1
O1 0.1450 0.2899 0.6675 1
O2 0.3333 0.6667 0.0064 1



Record 2
# In12GaHg6 (PBE-GGA, relaxed)
# - energy relative to the elements (kcal/mol of atoms) = 1.9
# - magnetization (μB/f.u.) = 0.0
# - electronic total energy (eV per atom) = -1.90
# - energy relative to the lowest polymorph listed for this composition (meV per atom) = 24
data_In12GaHg6
_cell_length_a 12.9066
_cell_length_b 12.9066
_cell_length_c 11.9382
_cell_angle_alpha 90.00
_cell_angle_beta 90.00
_cell_angle_gamma 120.00
_symmetry_space_group_name_H-M 'R -3'
_symmetry_Int_Tables_number 148
_symmetry_space_group_name_Hall '-R 3'
loop_
_atom_site_label
_atom_site_fract_x
_atom_site_fract_y
_atom_site_fract_z
_atom_site_occupancy
In1 0.0442 0.2239 0.4105 1
In2 0.0453 0.2322 0.9102 1
Ga1 0.0000 0.0000 0.5000 1
Hg1 0.0492 0.2401 0.1664 1



Record 3
# SrTcSb2 (PBE-GGA, relaxed)
# - energy relative to the elements, uncorrected (eV per atom) = 0.247
# - magnetization (μB/f.u.) = 2.5
# - electronic total energy (eV per atom) = -4.83
# - energy relative to the lowest polymorph listed for this composition (meV per atom) = 501
data_SrTcSb2
_cell_length_a 4.4429
_cell_length_b 4.4429
_cell_length_c 10.2150
_cell_angle_alpha 90.00
_cell_angle_beta 90.00
_cell_angle_gamma 90.00
_symmetry_space_group_name_H-M 'I -4 m 2'
_symmetry_Int_Tables_number 119
_symmetry_space_group_name_Hall 'I -4 -2'
loop_
_atom_site_label
_atom_site_fract_x
_atom_site_fract_y
_atom_site_fract_z
_atom_site_occupancy
Sr1 0.0000 0.0000 0.0000 1
Tc1 0.0000 0.5000 0.7500 1
Sb1 0.0000 0.0000 0.5000 1
Sb2 0.0000 0.5000 0.2500 1



Record 4
# CaTb7Sm4 (PBE-GGA, relaxed)
# - energy relative to the elements (kcal/mol of atoms) = 2.4
# - magnetization (μB/f.u.) = 0.0
# - electronic total energy (eV per atom) = -4.34
data_CaTb7Sm4
_cell_length_a 6.5582
_cell_length_b 6.9296
_cell_length_c 9.1138
_cell_angle_alpha 87.18
_cell_angle_beta 77.13
_cell_angle_gamma 83.15
_symmetry_space_group_name_H-M 'P -1'
_symmetry_Int_Tables_number 2
_symmetry_space_group_name_Hall '-P 1'
loop_
_atom_site_label
_atom_site_fract_x
_atom_site_fract_y
_atom_site_fract_z
_atom_site_occupancy
Ca1 0.0000 0.0000 0.0000 1
Tb1 0.0000 0.5000 0.0000 1
Tb2 0.1994 0.0926 0.3827 1
Tb3 0.3107 0.7035 0.6416 1
Tb4 0.4884 0.2552 0.0488 1
Sm1 0.1577 0.5988 0.3168 1
Sm2 0.3592 0.2067 0.7125 1